VASP calculation (GGA-PBE) on a geometry-optimized Ho5Er4Th structure.

Lattice parameters (Å, degrees): 10.093 10.093 6.334 90.00 90.00 90.00
Space group I4 (No. 79)
Symmetry-distinct sites (fractional):
Ho (0.000, 0.000, 0.000) (multiplicity 2)
Ho (0.143, 0.766, 0.259) (multiplicity 8)
Er (0.051, 0.653, 0.758) (multiplicity 8)
Th (0.000, 0.000, 0.534) (multiplicity 2)

Calculated values
Energy relative to the lowest polymorph listed for this composition ... 156.2 meV/atom
Energy of formation ... 3.3 eV per formula unit
Mass density ... 8.9 g/cm3